An optimized crystal structure of TbPaTiO6, computed with PBE.

Values from the calculation:
Uncorrected formation energy   -3.34 eV/atom
E   -81.87 eV per formula unit
Density of states at the Fermi level   0.00 states/eV/f.u.
Theoretical density   7.29 Mg/m³

Lattice parameters (Å, degrees): 5.4570 5.4570 9.4347 90.00 90.00 120.00
With the nearest neighbours (Å) after each atom.
Space group P-31c (No. 163)
Inequivalent atoms, fractional coordinates:
Tb  0.3333  0.6667  0.2500 x2  6 O 2.28
Pa  0.0000  0.0000  0.0000 x2  6 O 2.21
Ti  0.3333  0.6667  0.7500 x2  6 O 2.00
O  0.0411  0.3536  0.6318 x12  1 Ti 2.00, 1 Pa 2.21